# 1
RbSmMnS3 | PBE | optimized geometry

Geometry as POSCAR:
```
RbSmMnS3
1.0
9.115 0.000 0.000
0.000 4.158 0.000
-2.930 0.000 9.265
Rb Sm Mn S
2 2 2 6
Direct
0.204 0.250 0.231
0.796 0.750 0.769
0.335 0.750 0.857
0.665 0.250 0.143
0.087 0.250 0.610
0.913 0.750 0.390
0.121 0.250 0.856
0.188 0.750 0.538
0.463 0.750 0.153
0.537 0.250 0.847
0.812 0.250 0.462
0.879 0.750 0.144
```

Calculated values
The crystal system is monoclinic. The space group is P2_1/m. The uncorrected formation energy is -1.39 eV/atom.

***

# 2
Rb3Sm2MnS6 | PBE | optimized geometry

Geometry as POSCAR:
```
Rb3Sm2MnS6
1.0
3.579 -5.952 0.000
3.579 5.952 0.000
-2.510 0.000 7.670
Rb Sm Mn S
3 2 1 6
Direct
0.000 0.000 0.000
0.328 0.672 0.000
0.672 0.328 0.000
0.163 0.837 0.500
0.837 0.163 0.500
0.500 0.500 0.500
0.144 0.440 0.323
0.232 0.232 0.710
0.440 0.144 0.323
0.560 0.856 0.677
0.768 0.768 0.290
0.856 0.560 0.677
```

Calculated values
The crystal system is monoclinic. The space group is C2/m. The uncorrected formation energy is -1.42 eV/atom.

***

# 3
Rb2Mn2SnS6 | PBE | optimized geometry

Geometry as POSCAR:
```
Rb2Mn2SnS6
1.0
3.136 -5.489 0.000
3.136 5.489 0.000
-1.914 0.000 7.653
Rb Mn Sn S
2 2 1 6
Direct
0.161 0.839 0.000
0.839 0.161 0.000
0.333 0.667 0.500
0.667 0.333 0.500
0.000 0.000 0.500
0.050 0.416 0.665
0.318 0.318 0.332
0.416 0.050 0.665
0.584 0.950 0.335
0.682 0.682 0.668
0.950 0.584 0.335
```

Calculated values
The crystal system is monoclinic. The space group is C2/m. The uncorrected formation energy is -0.70 eV/atom.

***

# 4
RbMnSnS3 | PBE | optimized geometry

Geometry as POSCAR:
```
RbMnSnS3
1.0
9.405 0.000 0.000
0.000 4.007 0.000
-2.277 0.000 9.496
Rb Mn Sn S
2 2 2 6
Direct
0.175 0.250 0.210
0.825 0.750 0.790
0.092 0.250 0.605
0.908 0.750 0.395
0.358 0.750 0.863
0.642 0.250 0.137
0.144 0.250 0.847
0.167 0.750 0.503
0.435 0.750 0.133
0.565 0.250 0.867
0.833 0.250 0.497
0.856 0.750 0.153
```

Calculated values
The crystal system is monoclinic. The space group is P2_1/m. The uncorrected formation energy is -0.65 eV/atom.

***

# 5
Rb2SrMnS4 | PBE | optimized geometry

Geometry as POSCAR:
```
Rb2SrMnS4
1.0
8.288 0.000 0.000
0.000 9.821 0.000
0.000 0.000 6.354
Rb Sr Mn S
4 2 2 8
Direct
0.218 0.137 0.000
0.282 0.863 0.500
0.718 0.863 0.500
0.782 0.137 0.000
0.000 0.396 0.492
0.500 0.604 0.992
0.000 0.666 0.927
0.500 0.334 0.427
0.000 0.442 0.992
0.000 0.673 0.589
0.215 0.793 0.007
0.285 0.207 0.507
0.500 0.327 0.089
0.500 0.558 0.492
0.715 0.207 0.507
0.785 0.793 0.007
```

Calculated values
The crystal system is orthorhombic. The space group is Pmn2_1. The uncorrected formation energy is -1.04 eV/atom.

***

# 6
Rb2TaMnS4 | PBE | optimized geometry

Geometry as POSCAR:
```
Rb2TaMnS4
1.0
-3.589 3.589 4.663
3.589 -3.589 4.663
3.589 3.589 -4.663
Rb Ta Mn S
2 1 1 4
Direct
0.000 0.000 0.000
0.750 0.250 0.500
0.500 0.500 0.000
0.250 0.750 0.500
0.233 0.128 0.631
0.398 0.767 0.895
0.497 0.602 0.369
0.872 0.503 0.105
```

Calculated values
The crystal system is tetragonal. The space group is I-4. The uncorrected formation energy is -0.94 eV/atom.

***

# 7
Rb2Tb2MnS6 | PBE | optimized geometry

Geometry as POSCAR:
```
Rb2Tb2MnS6
1.0
3.374 -5.749 0.000
3.374 5.749 0.000
-2.359 0.000 7.834
Rb Tb Mn S
2 2 1 6
Direct
0.173 0.827 0.000
0.827 0.173 0.000
0.333 0.667 0.500
0.667 0.333 0.500
0.000 0.000 0.500
0.065 0.362 0.681
0.231 0.231 0.322
0.362 0.065 0.681
0.638 0.935 0.319
0.769 0.769 0.678
0.935 0.638 0.319
```

Calculated values
The crystal system is monoclinic. The space group is C2/m. The uncorrected formation energy is -1.42 eV/atom.

***

# 8
Rb2TbMnS4 | PBE | optimized geometry

Geometry as POSCAR:
```
Rb2TbMnS4
1.0
-4.042 4.174 6.127
4.042 -4.174 6.127
4.042 4.174 -6.127
Rb Tb Mn S
4 2 2 8
Direct
0.000 0.000 0.000
0.500 0.000 0.000
0.500 0.000 0.500
0.500 0.500 0.500
0.000 0.500 0.500
0.500 0.500 0.000
0.000 0.000 0.500
0.000 0.500 0.000
0.167 0.736 0.431
0.195 0.264 0.931
0.239 0.272 0.533
0.239 0.706 0.967
0.761 0.294 0.033
0.761 0.728 0.467
0.805 0.736 0.069
0.833 0.264 0.569
```

Calculated values
The crystal system is orthorhombic. The space group is Imma. The uncorrected formation energy is -1.16 eV/atom.

***

# 9
Rb3Tb3MnS8 | PBE | optimized geometry

Geometry as POSCAR:
```
Rb3Tb3MnS8
1.0
3.949 2.280 7.830
-3.949 2.280 7.830
0.000 -4.560 7.830
Rb Tb Mn S
3 3 1 8
Direct
0.000 0.500 0.500
0.500 0.000 0.500
0.500 0.500 0.000
0.000 0.000 0.500
0.000 0.500 0.000
0.500 0.000 0.000
0.500 0.500 0.500
0.231 0.231 0.231
0.261 0.708 0.708
0.292 0.292 0.739
0.292 0.739 0.292
0.708 0.261 0.708
0.708 0.708 0.261
0.739 0.292 0.292
0.769 0.769 0.769
```

Calculated values
The crystal system is trigonal. The space group is R-3m. The uncorrected formation energy is -1.53 eV/atom.

***

# 10
RbMnTcS3 | PBE | optimized geometry

Geometry as POSCAR:
```
RbMnTcS3
1.0
8.440 0.000 0.000
0.000 3.372 0.000
-3.303 0.000 8.699
Rb Mn Tc S
2 2 2 6
Direct
0.001 0.250 0.258
0.999 0.750 0.742
0.442 0.750 0.602
0.558 0.250 0.398
0.493 0.250 0.866
0.507 0.750 0.134
0.265 0.250 0.624
0.313 0.250 0.005
0.355 0.750 0.335
0.645 0.250 0.665
0.687 0.750 0.995
0.735 0.750 0.376
```

Calculated values
The crystal system is monoclinic. The space group is P2_1/m. The uncorrected formation energy is -0.69 eV/atom.

***

# 11
Rb2MnTe2S6 | PBE | optimized geometry

Geometry as POSCAR:
```
Rb2MnTe2S6
1.0
6.933 0.000 0.000
-3.466 6.004 0.000
0.000 0.000 15.655
Rb Mn Te S
4 2 4 12
Direct
0.333 0.667 0.286
0.333 0.667 0.786
0.667 0.333 0.214
0.667 0.333 0.714
0.000 0.000 0.000
0.000 0.000 0.500
0.333 0.667 0.033
0.333 0.667 0.533
0.667 0.333 0.467
0.667 0.333 0.967
0.080 0.326 0.103
0.080 0.754 0.603
0.246 0.326 0.603
0.246 0.920 0.103
0.326 0.080 0.397
0.326 0.246 0.897
0.674 0.754 0.103
0.674 0.920 0.603
0.754 0.080 0.897
0.754 0.674 0.397
0.920 0.246 0.397
0.920 0.674 0.897
```

Calculated values
The crystal system is trigonal. The space group is P-3c1. The uncorrected formation energy is -0.49 eV/atom.

***

# 12
RbMnTl2S4 | PBE | optimized geometry

Geometry as POSCAR:
```
RbMnTl2S4
1.0
-3.759 3.759 4.146
3.759 -3.759 4.146
3.759 3.759 -4.146
Rb Mn Tl S
1 1 2 4
Direct
0.000 0.000 0.000
0.500 0.500 0.000
0.250 0.750 0.500
0.750 0.250 0.500
0.194 0.194 0.656
0.462 0.806 0.000
0.538 0.538 0.344
0.806 0.462 0.000
```

Calculated values
The crystal system is tetragonal. The space group is I-42m. The uncorrected formation energy is -0.54 eV/atom.

***

# 13
Rb2Tm2MnS6 | PBE | optimized geometry

Geometry as POSCAR:
```
Rb2Tm2MnS6
1.0
3.318 -5.672 0.000
3.318 5.672 0.000
-2.327 0.000 7.833
Rb Tm Mn S
2 2 1 6
Direct
0.172 0.828 0.000
0.828 0.172 0.000
0.333 0.667 0.500
0.667 0.333 0.500
0.000 0.000 0.500
0.065 0.366 0.680
0.237 0.237 0.323
0.366 0.065 0.680
0.634 0.935 0.320
0.763 0.763 0.677
0.935 0.634 0.320
```

Calculated values
The crystal system is monoclinic. The space group is C2/m. The uncorrected formation energy is -1.44 eV/atom.

***

# 14
Rb3U2MnS9 | PBE | optimized geometry

Geometry as POSCAR:
```
Rb3U2MnS9
1.0
7.131 0.000 0.000
-3.565 6.175 0.000
0.000 0.000 8.720
Rb U Mn S
3 2 1 9
Direct
0.000 0.000 0.000
0.333 0.667 0.667
0.667 0.333 0.333
0.333 0.667 0.184
0.667 0.333 0.816
0.000 0.000 0.500
0.000 0.500 0.000
0.162 0.323 0.338
0.162 0.838 0.338
0.323 0.162 0.662
0.500 0.000 0.000
0.500 0.500 0.000
0.677 0.838 0.338
0.838 0.162 0.662
0.838 0.677 0.662
```

Calculated values
The crystal system is trigonal. The space group is P-3m1. The uncorrected formation energy is -1.10 eV/atom.

***

# 15
RbUMnS3 | PBE | optimized geometry

Geometry as POSCAR:
```
RbUMnS3
1.0
9.107 0.000 0.000
0.000 4.025 0.000
-3.125 0.000 8.930
Rb U Mn S
2 2 2 6
Direct
0.205 0.250 0.240
0.795 0.750 0.760
0.331 0.750 0.848
0.669 0.250 0.152
0.078 0.250 0.602
0.922 0.750 0.398
0.130 0.250 0.861
0.190 0.750 0.545
0.464 0.750 0.153
0.536 0.250 0.847
0.810 0.250 0.455
0.870 0.750 0.139
```

Calculated values
The crystal system is monoclinic. The space group is P2_1/m. The uncorrected formation energy is -1.13 eV/atom.

***

# 16
Rb2UMnS6 | PBE | optimized geometry

Geometry as POSCAR:
```
Rb2UMnS6
1.0
-3.405 3.405 5.458
3.405 -3.405 5.458
3.405 3.405 -5.458
Rb U Mn S
2 1 1 6
Direct
0.000 0.500 0.500
0.500 0.000 0.500
0.253 0.253 0.000
0.704 0.704 0.000
0.032 0.032 0.000
0.492 0.492 0.000
0.520 0.520 0.534
0.520 0.986 0.000
0.986 0.520 0.000
0.986 0.986 0.466
```

Calculated values
The crystal system is tetragonal. The space group is I4mm. The uncorrected formation energy is -0.94 eV/atom.

***

# 17
Rb2U2MnS6 | PBE | optimized geometry

Geometry as POSCAR:
```
Rb2U2MnS6
1.0
3.404 -5.901 0.000
3.404 5.901 0.000
-2.209 0.000 7.872
Rb U Mn S
2 2 1 6
Direct
0.165 0.835 0.000
0.835 0.165 0.000
0.334 0.666 0.500
0.666 0.334 0.500
0.000 0.000 0.500
0.059 0.389 0.683
0.263 0.263 0.319
0.389 0.059 0.683
0.611 0.941 0.317
0.737 0.737 0.681
0.941 0.611 0.317
```

Calculated values
The crystal system is monoclinic. The space group is C2/m. The uncorrected formation energy is -1.24 eV/atom.

***

# 18
Rb3UMn2S6 | PBE | optimized geometry

Geometry as POSCAR:
```
Rb3UMn2S6
1.0
7.475 0.000 0.000
-3.738 6.474 0.000
0.000 0.000 8.567
Rb U Mn S
3 1 2 6
Direct
0.000 0.000 0.000
0.333 0.667 0.676
0.667 0.333 0.324
0.000 0.000 0.500
0.333 0.667 0.276
0.667 0.333 0.724
0.160 0.321 0.310
0.160 0.840 0.310
0.321 0.160 0.690
0.679 0.840 0.310
0.840 0.160 0.690
0.840 0.679 0.690
```

Calculated values
The crystal system is trigonal. The space group is P-3m1. The uncorrected formation energy is -0.97 eV/atom.

***

# 19
Rb2UMn2S6 | PBE | optimized geometry

Geometry as POSCAR:
```
Rb2UMn2S6
1.0
3.283 -5.523 0.000
3.283 5.523 0.000
-2.315 0.000 7.905
Rb U Mn S
2 1 2 6
Direct
0.166 0.834 0.000
0.834 0.166 0.000
0.000 0.000 0.500
0.331 0.669 0.500
0.669 0.331 0.500
0.049 0.395 0.681
0.288 0.288 0.328
0.395 0.049 0.681
0.605 0.951 0.319
0.712 0.712 0.672
0.951 0.605 0.319
```

Calculated values
The crystal system is monoclinic. The space group is C2/m. The uncorrected formation energy is -1.03 eV/atom.

***

# 20
Rb4U3MnS8 | PBE | optimized geometry

Geometry as POSCAR:
```
Rb4U3MnS8
1.0
4.039 2.332 7.700
-4.039 2.332 7.700
0.000 -4.664 7.700
Rb U Mn S
4 3 1 8
Direct
0.000 0.000 0.000
0.000 0.500 0.500
0.500 0.000 0.500
0.500 0.500 0.000
0.000 0.000 0.500
0.000 0.500 0.000
0.500 0.000 0.000
0.500 0.500 0.500
0.232 0.232 0.232
0.237 0.726 0.726
0.274 0.274 0.763
0.274 0.763 0.274
0.726 0.237 0.726
0.726 0.726 0.237
0.763 0.274 0.274
0.768 0.768 0.768
```

Calculated values
The crystal system is trigonal. The space group is R-3m. The uncorrected formation energy is -1.23 eV/atom.